An optimized crystal structure of KGa2Au2. Source: Alexandria via LeMat-Bulk, functional PBE-GGA.

Properties
Symmetry: No. 127
Relative energy among the computed polymorphs in eV per atom: 0.142
Calculated formation energy in eV per atom: -0.175
Crystal system: tetragonal

Cell: 8.477 8.477 2.905 Å, 90.00 90.00 90.00°
Atoms (fractional coordinates):
Ga: 0.871 0.629 0.000
K: 0.500 0.500 0.000
Au: 0.337 0.163 0.500
K: 0.000 0.000 0.000
Au: 0.163 0.663 0.500
Au: 0.837 0.337 0.500
Ga: 0.371 0.871 0.000
Ga: 0.129 0.371 0.000
Au: 0.663 0.837 0.500
Ga: 0.629 0.129 0.000